Entry 1:
TaTl2Sb | PBE | optimized geometry

extended XYZ file:
```
4
Lattice="-1.550 -4.874 -0.863 3.190 -3.362 -2.329 2.082 -3.902 2.710" Properties=species:S:1:pos:R:3 pbc="T T T"
Tl 0.931 -3.035 -0.121
Tl 0.000 0.000 0.000
Sb 1.861 -6.070 -0.241
Ta 2.792 -9.104 -0.362
```

Properties
E	-17.74	eV per cell
ΔE to the lowest computed polymorph	1.93	eV/f.u.
energy relative to the elements, uncorrected	0.7419	eV/atom
theoretical density	12.0	g cm⁻³
space group	F-43m (216)



Entry 2:
TcHgMo2 | PBE | optimized geometry

extended XYZ file:
```
4
Lattice="-1.997 -0.287 4.937 3.040 -2.380 3.679 -0.260 4.004 -3.513" Properties=species:S:1:pos:R:3 pbc="T T T"
Mo 1.021 -2.612 8.438
Mo -0.868 1.192 2.866
Tc 0.542 -1.387 4.480
Hg 1.651 0.144 2.243
```

Properties
E	-30.41	eV per cell
formation energy from the elements	480	meV per atom
theoretical density	12.2	g cm⁻³
space group	Imm2 (44)



Entry 3:
Cu3Pd2Pt2 | PBE | optimized geometry

extended XYZ file:
```
7
Lattice="4.322 -0.544 -1.814 -2.597 3.866 0.764 -1.363 0.635 6.987" Properties=species:S:1:pos:R:3 pbc="T T T"
Pd 0.247 0.675 2.557
Pd 0.115 3.281 3.380
Cu 0.000 0.000 0.000
Cu 0.617 1.309 5.173
Cu -0.256 2.648 0.764
Pt -1.763 2.574 5.258
Pt 2.124 1.383 0.678
```

Properties
E	-35.46	eV per cell
formation energy from the elements	-101	meV per atom
theoretical density	13.3	g cm⁻³
space group	P-1 (2)



Entry 4:
SrMg2Co2 | PBE | optimized geometry

extended XYZ file:
```
10
Lattice="-2.698 6.102 4.342 -3.027 -5.110 5.300 2.519 0.053 1.490" Properties=species:S:1:pos:R:3 pbc="T T T"
Co -4.264 1.772 7.144
Co -1.461 -0.780 2.498
Co -3.470 -2.216 5.945
Co -2.255 3.208 3.697
Sr -2.863 0.496 4.821
Sr 0.000 0.000 0.000
Mg -2.192 3.442 6.457
Mg -3.073 -0.544 8.089
Mg -0.133 1.589 3.043
Mg -1.014 -2.396 4.675
```

Properties
E	-34.86	eV per cell
ΔE to the lowest computed polymorph	0.51	eV/f.u.
formation energy from the elements	331	meV per atom
theoretical density	4.6	g cm⁻³
space group	P4/mbm (127)



Entry 5:
MnIn2Pt | PBE | optimized geometry

extended XYZ file:
```
8
Lattice="-4.247 0.223 -6.346 -3.295 -6.604 1.972 -5.790 -1.765 -0.786" Properties=species:S:1:pos:R:3 pbc="T T T"
In -4.586 -1.123 -4.025
In -3.965 -4.545 0.352
In -10.997 -7.020 -4.383
In -7.114 -3.603 -2.263
Pt 0.000 0.000 0.000
Pt -6.904 -2.366 -4.659
Mn -3.771 -3.190 -2.187
Mn -6.427 -5.780 -0.500
```

Properties
E	-40.41	eV per cell
formation energy from the elements	121	meV per atom
theoretical density	9.6	g cm⁻³
space group	I-42d (122)



Entry 6:
ZnFeCoAs | PBE | optimized geometry

extended XYZ file:
```
4
Lattice="4.075 0.000 0.000 2.037 3.529 0.000 2.037 1.176 3.327" Properties=species:S:1:pos:R:3 pbc="T T T"
Fe 6.112 3.529 2.495
Co 2.037 1.176 0.832
As 4.075 2.353 1.664
Zn 0.000 0.000 0.000
```

Properties
E	-21.33	eV per cell
formation energy from the elements	40	meV per atom
theoretical density	8.9	g cm⁻³
space group	F-43m (216)



Entry 7:
BaHoCdSn | PBE | optimized geometry

extended XYZ file:
```
4
Lattice="-5.374 -0.830 -1.450 -2.553 -4.841 1.312 -4.000 -0.089 3.957" Properties=species:S:1:pos:R:3 pbc="T T T"
Sn -5.963 -2.880 1.910
Cd 0.000 0.000 0.000
Ba -8.945 -4.320 2.865
Ho -2.982 -1.440 0.955
```

Properties
E	-12.86	eV per cell
formation energy from the elements	-361	meV per atom
theoretical density	7.0	g cm⁻³
space group	F-43m (216)



Entry 8:
BaTlGe | PBE | optimized geometry

extended XYZ file:
```
12
Lattice="-7.463 1.655 -1.871 -0.509 -5.814 5.280 3.716 7.183 3.890" Properties=species:S:1:pos:R:3 pbc="T T T"
Ge -5.771 2.386 2.676
Ge -1.963 4.373 1.048
Ge -5.890 -3.073 2.518
Ge -2.082 -1.086 0.890
Tl -0.195 -0.178 2.719
Tl -2.324 1.334 6.368
Tl 1.408 0.507 7.303
Tl -0.450 -3.085 5.358
Ba -3.953 5.003 3.642
Ba -4.072 -0.456 3.484
Ba -3.781 1.755 0.082
Ba -0.185 3.480 3.814
```

Properties
E	-37.12	eV per cell
ΔE to the lowest computed polymorph	0.92	eV/f.u.
formation energy from the elements	-125	meV per atom
theoretical density	6.1	g cm⁻³
space group	Fddd (70)



Entry 9:
CaYW3 | PBE | optimized geometry

extended XYZ file:
```
5
Lattice="4.958 0.000 0.000 0.000 4.958 0.000 0.000 0.000 4.958" Properties=species:S:1:pos:R:3 pbc="T T T"
Ca 2.479 2.479 2.479
W 0.000 2.479 0.000
W 2.479 0.000 0.000
W 0.000 0.000 2.479
Y 0.000 0.000 0.000
```

Properties
E	-34.56	eV per cell
ΔE to the lowest computed polymorph	0.00	eV/f.u.
formation energy from the elements	2554	meV per atom
theoretical density	9.3	g cm⁻³
space group	Pm-3m (221)



Entry 10:
TlVNi2As | PBE | optimized geometry

extended XYZ file:
```
5
Lattice="4.400 0.000 0.000 0.000 5.162 0.000 0.000 0.000 4.400" Properties=species:S:1:pos:R:3 pbc="T T T"
Ni 2.200 0.000 0.000
Ni 0.000 0.000 2.200
As 2.200 2.581 2.200
V 0.000 0.000 0.000
Tl 0.000 2.581 0.000
```

Properties
E	-22.09	eV per cell
formation energy from the elements	1121	meV per atom
theoretical density	7.4	g cm⁻³
space group	P4/mmm (123)



Entry 11:
VZnFeNi2 | PBE | optimized geometry

extended XYZ file:
```
5
Lattice="4.256 0.000 0.000 0.000 4.403 0.000 0.000 0.000 4.256" Properties=species:S:1:pos:R:3 pbc="T T T"
V 2.128 2.202 2.128
Ni 2.128 0.000 0.000
Ni 0.000 0.000 2.128
Zn 0.000 2.202 0.000
Fe 0.000 0.000 0.000
```

Properties
E	-24.93	eV per cell
formation energy from the elements	1099	meV per atom
theoretical density	6.0	g cm⁻³
space group	P4/mmm (123)



Entry 12:
SmGaNiPd | PBE | optimized geometry

extended XYZ file:
```
4
Lattice="-1.676 -3.406 -0.641 -0.586 -0.408 3.702 -4.233 2.518 -2.312" Properties=species:S:1:pos:R:3 pbc="T T T"
Sm -2.654 -0.774 -0.506
Ga -3.951 1.666 1.478
Ni -1.631 0.480 1.714
Pd -5.141 0.497 -0.759
```

Properties
E	-20.64	eV per cell
formation energy from the elements	-479	meV per atom
theoretical density	8.6	g cm⁻³
space group	Amm2 (38)



Entry 13:
AcErTe3Pd | PBE | optimized geometry

extended XYZ file:
```
12
Lattice="-3.676 2.267 0.718 -2.043 -0.736 -8.140 -4.306 -8.285 4.112" Properties=species:S:1:pos:R:3 pbc="T T T"
Te -5.595 -2.912 0.572
Te -4.237 0.190 -2.269
Te -5.788 -6.943 -1.041
Te -5.197 -0.067 -6.374
Te -4.828 -6.687 3.064
Te -4.430 -3.842 -3.882
Ac -7.472 -4.794 -3.102
Ac -2.553 -1.960 -0.208
Pd -6.366 -2.308 -5.287
Pd -3.659 -4.445 1.977
Er -3.056 -1.368 -4.658
Er -6.969 -5.386 1.347
```

Properties
E	-62.13	eV per cell
energy relative to the elements, uncorrected	-1.2964	eV/atom
theoretical density	8.0	g cm⁻³
space group	P2_1/m (11)



Entry 14:
Hf4TiN5 | PBE | optimized geometry

extended XYZ file:
```
10
Lattice="4.504 0.000 0.000 2.252 5.018 0.000 2.252 0.000 5.018" Properties=species:S:1:pos:R:3 pbc="T T T"
N 2.257 3.014 1.004
N 2.257 0.000 0.000
N 4.509 1.004 2.005
N 6.761 2.005 4.014
N 4.509 4.014 3.014
Hf 4.509 2.010 4.037
Hf 4.509 3.008 0.982
Hf 6.761 4.037 3.008
Hf 2.257 0.982 2.010
Ti 0.005 0.000 0.000
```

Properties
E	-106.76	eV per cell
energy relative to the elements, uncorrected	-1.7423	eV/atom
theoretical density	12.2	g cm⁻³
space group	I4/m (87)